First-principles (PBE) data for a relaxed structure of BaCr2Tc, as listed in Alexandria via LeMat-Bulk.

E_form in eV/atom: 0.908
Excess energy over the best structure of this formula in the dataset in eV/atom: 0.2748

```
data_BaCr2Tc
_space_group_name_H-M_alt 'I m m 2'
_space_group_IT_number 44
_cell_length_a 3.2018
_cell_length_b 3.8915
_cell_length_c 14.0820
_cell_angle_alpha 90.00
_cell_angle_beta 90.00
_cell_angle_gamma 90.00
loop_
_space_group_symop_operation_xyz
'x,y,z'
'-x,-y,z'
'-x,y,z'
'x,-y,z'
'x+1/2,y+1/2,z+1/2'
'-x+1/2,-y+1/2,z+1/2'
'-x+1/2,y+1/2,z+1/2'
'x+1/2,-y+1/2,z+1/2'
loop_
_atom_site_label
_atom_site_fract_x
_atom_site_fract_y
_atom_site_fract_z
Ba1 0.0000 0.0000 0.0000
Cr1 0.0000 0.0000 0.3359
Cr2 0.0000 0.5000 0.7167
Tc1 0.0000 0.5000 0.2165
```